(1)
## BaDyGe2 (PBE-GGA)

Data for a geometry-optimized BaDyGe2 structure.

Final energy (eV/atom): -3.792

Lattice parameters (Å, degrees): 3.3825 6.7321 6.7321 55.19 90.00 90.00
Last column: nearest neighbours and their distance in Å.
Positions (direct):
Ba  0.5000  0.1369  0.1369  3 Ge 3.13-3.21, 2 Ba 3.38, 1 Dy 3.48
Dy  0.5000  0.8451  0.8451  1 Ge 2.78
Ge  0.5000  0.4056  0.4056  1 Ge 2.47
Ge  0.5000  0.6123  0.6123  1 Ge 2.47

---

(2)
## BaDyGe (PBE-GGA)

Data for a geometry-optimized BaDyGe structure.

Final energy (eV/atom): -3.973
Distance to the lowest polymorph of the same formula (eV per atom): 0.000

Lattice parameters (Å, degrees): 5.2813 5.2813 5.2813 60.00 60.00 60.00
Last column: nearest neighbours and their distance in Å.
Positions (direct):
Ba  0.2500  0.2500  0.2500  4 Ge 3.23
Dy  0.7500  0.7500  0.7500  4 Ge 3.23
Ge  0.0000  0.0000  0.0000  4 Ba 3.23, 4 Dy 3.23

---

(3)
## BaDyGe (PBE-GGA)

Data for a geometry-optimized BaDyGe structure.

Final energy (eV/atom): -3.196
Distance to the lowest polymorph of the same formula (eV per atom): 0.777

Lattice parameters (Å, degrees): 5.3007 5.3007 5.3007 60.00 60.00 60.00
Last column: nearest neighbours and their distance in Å.
Positions (direct):
Ba  0.0000  0.0000  0.0000  4 Dy 3.25, 4 Ge 3.25
Dy  0.2500  0.2500  0.2500  4 Ba 3.25
Ge  0.7500  0.7500  0.7500  4 Ba 3.25

---

(4)
## BaDyHf (PBE-GGA)

Data for a geometry-optimized BaDyHf structure.

Final energy (eV/atom): -4.764
Distance to the lowest polymorph of the same formula (eV per atom): 0.000

Lattice parameters (Å, degrees): 5.6121 7.8545 7.8545 120.05 90.00 90.00
Last column: nearest neighbours and their distance in Å.
Positions (direct):
Ba  0.0000  0.6668  0.3336  3 Hf 3.19
Ba  0.0000  0.3336  0.6668  3 Hf 3.19
Ba  0.5000  0.9997  0.9997  6 Hf 3.27, 3 Dy 3.51
Dy  0.5000  0.5533  0.0000  5 Ba 3.51-3.63, 2 Hf 3.87
Dy  0.5000  0.4468  0.4468  5 Ba 3.51-3.63, 2 Hf 3.87
Dy  0.5000  0.0000  0.5533  5 Ba 3.51-3.63, 2 Hf 3.87
Hf  0.0000  0.9999  0.2139  2 Hf 2.91, 2 Ba 3.19
Hf  0.0000  0.7860  0.7860  2 Hf 2.91, 2 Ba 3.19
Hf  0.0000  0.2139  0.9999  2 Hf 2.91, 2 Ba 3.19

---

(5)
## BaDyHf (PBE-GGA)

Data for a geometry-optimized BaDyHf structure.

Final energy (eV/atom): -4.084
Distance to the lowest polymorph of the same formula (eV per atom): 0.680

Lattice parameters (Å, degrees): 5.2770 5.2770 5.2770 60.00 60.00 60.00
Last column: nearest neighbours and their distance in Å.
Positions (direct):
Ba  0.0000  0.0000  0.0000  4 Dy 3.23, 4 Hf 3.23
Dy  0.2500  0.2500  0.2500  4 Ba 3.23
Hf  0.7500  0.7500  0.7500  4 Ba 3.23

---

(6)
## BaDyHf (PBE-GGA)

Data for a geometry-optimized BaDyHf structure.

Final energy (eV/atom): -4.245
Distance to the lowest polymorph of the same formula (eV per atom): 0.519

Lattice parameters (Å, degrees): 5.4868 5.4868 5.4868 60.00 60.00 60.00
Last column: nearest neighbours and their distance in Å.
Positions (direct):
Ba  0.2500  0.2500  0.2500  4 Dy 3.36
Dy  0.0000  0.0000  0.0000  4 Hf 3.36, 4 Ba 3.36
Hf  0.7500  0.7500  0.7500  4 Dy 3.36

---

(7)
## BaDyHg (PBE-GGA)

Data for a geometry-optimized BaDyHg structure.

Final energy (eV/atom): -1.776
Distance to the lowest polymorph of the same formula (eV per atom): 0.275

Lattice parameters (Å, degrees): 5.4264 5.4264 5.4264 60.00 60.00 60.00
Last column: nearest neighbours and their distance in Å.
Positions (direct):
Ba  0.0000  0.0000  0.0000  4 Hg 3.32, 4 Dy 3.32
Dy  0.2500  0.2500  0.2500  4 Ba 3.32
Hg  0.7500  0.7500  0.7500  4 Ba 3.32

---

(8)
## BaDyHg (PBE-GGA)

Data for a geometry-optimized BaDyHg structure.

Final energy (eV/atom): -2.051
Distance to the lowest polymorph of the same formula (eV per atom): 0.000

Lattice parameters (Å, degrees): 5.3030 5.3030 5.3030 60.00 60.00 60.00
Last column: nearest neighbours and their distance in Å.
Positions (direct):
Ba  0.5000  0.5000  0.5000  4 Dy 3.25
Dy  0.2500  0.2500  0.2500  4 Ba 3.25, 4 Hg 3.25
Hg  0.0000  0.0000  0.0000  4 Dy 3.25

---

(9)
## BaDyHo (PBE-GGA)

Data for a geometry-optimized BaDyHo structure.

Final energy (eV/atom): -2.870

Lattice parameters (Å, degrees): 5.7694 5.7694 5.7694 60.00 60.00 60.00
Last column: nearest neighbours and their distance in Å.
Positions (direct):
Ba  0.2500  0.2500  0.2500  4 Ho 3.53
Dy  0.7500  0.7500  0.7500  4 Ho 3.53
Ho  0.0000  0.0000  0.0000  4 Ba 3.53, 4 Dy 3.53

---

(10)
## BaDyIn2 (PBE-GGA)

Data for a geometry-optimized BaDyIn2 structure.

Final energy (eV/atom): -3.325

Lattice parameters (Å, degrees): 7.0633 7.0633 7.7069 90.00 90.00 136.61
Last column: nearest neighbours and their distance in Å.
Positions (direct):
Ba  0.5719  0.4281  0.2500  8 In 3.61-3.89, 3 Dy 3.78-3.83
Ba  0.4281  0.5719  0.7500  8 In 3.61-3.89, 3 Dy 3.78-3.83
Dy  0.2803  0.7197  0.2500  6 In 3.22-3.27
Dy  0.7197  0.2803  0.7500  6 In 3.22-3.27
In  0.8820  0.1180  0.0629  1 In 2.88, 1 Dy 3.22
In  0.8820  0.1180  0.4371  1 In 2.88, 1 Dy 3.22
In  0.1180  0.8820  0.5629  1 In 2.88, 1 Dy 3.22
In  0.1180  0.8820  0.9371  1 In 2.88, 1 Dy 3.22

---

(11)
## BaDyIn4Pd2 (PBE-GGA)

Data for a geometry-optimized BaDyIn4Pd2 structure.

Final energy (eV/atom): -4.031

Lattice parameters (Å, degrees): 8.0239 5.8238 5.8238 46.20 90.00 90.00
Last column: nearest neighbours and their distance in Å.
Positions (direct):
Ba  0.5000  0.9335  0.9335  3 Pd 3.03-3.26
Dy  0.0000  0.0686  0.0686  3 Pd 3.03-3.26, 4 In 3.36
In  0.1881  0.3545  0.3545  3 Pd 2.84-2.91, 1 In 3.02
In  0.8119  0.3545  0.3545  3 Pd 2.84-2.91, 1 In 3.02
In  0.2901  0.6437  0.6437  3 Pd 2.78-2.94
In  0.7099  0.6437  0.6437  3 Pd 2.78-2.94
Pd  0.5000  0.2162  0.2162  6 In 2.91-2.94, 1 Ba 3.03
Pd  0.0000  0.7855  0.7855  6 In 2.78-2.84, 1 Dy 3.03

---

(12)
## Ba2DyInSe5 (PBE-GGA)

Data for a geometry-optimized Ba2DyInSe5 structure.

Final energy (eV/atom): -4.811

Lattice parameters (Å, degrees): 9.7628 9.7628 13.4590 90.00 90.00 154.53
Last column: nearest neighbours and their distance in Å.
Positions (direct):
Ba  0.6179  0.3821  0.1811  8 Se 3.29-3.66
Ba  0.3673  0.6327  0.3137  7 Se 3.31-3.51
Ba  0.3821  0.6179  0.6811  8 Se 3.29-3.66
Ba  0.6327  0.3673  0.8137  7 Se 3.31-3.51
Dy  0.2891  0.7109  0.0177  6 Se 2.77-3.08
Dy  0.7109  0.2891  0.5177  6 Se 2.77-3.08
In  0.0526  0.9474  0.4370  4 Se 2.55-2.72
In  0.9474  0.0526  0.9370  4 Se 2.55-2.72
Se  0.1443  0.8557  0.0004  1 Dy 2.77
Se  0.4491  0.5509  0.0514  2 In 2.65
Se  0.7911  0.2089  0.1569  2 Dy 2.85
Se  0.9952  0.0048  0.2659  1 In 2.55
Se  0.1875  0.8125  0.3697  1 In 2.72, 2 Dy 2.97
Se  0.8557  0.1443  0.5004  1 Dy 2.77
Se  0.5509  0.4491  0.5514  2 In 2.65
Se  0.2089  0.7911  0.6569  2 Dy 2.85
Se  0.0048  0.9952  0.7659  1 In 2.55
Se  0.8125  0.1875  0.8697  1 In 2.72, 2 Dy 2.97